KCd2NiF8, optimized geometry, DFT GGA+U; magnetization = 0.252 μB per atom; total energy = -45.85 eV for the cell shown; space group = P2/m, No. 10
1.0
5.0661 0.0000 0.0000
0.0000 7.1456 0.0000
-0.0775 0.0000 5.0889
K Cd Ni F
1 2 1 8
direct
0.0000 0.0000 0.0000
0.5000 0.2576 0.5000
0.5000 0.7424 0.5000
0.0000 0.5000 0.0000
0.2076 0.3117 0.1640
0.2076 0.6883 0.1640
0.2607 0.5000 0.6999
0.2767 0.0000 0.6105
0.7233 0.0000 0.3895
0.7393 0.5000 0.3001
0.7924 0.3117 0.8360
0.7924 0.6883 0.8360



K3Cd2NiF9, optimized geometry, DFT GGA+U; magnetization = 0.133 μB per atom; total energy = -61.31 eV for the cell shown; space group = P-3m1, No. 164
1.0
6.1103 0.0000 0.0000
-3.0552 5.2917 0.0000
0.0000 0.0000 7.5047
K Cd Ni F
3 2 1 9
direct
0.0000 0.0000 0.0000
0.3333 0.6667 0.6676
0.6667 0.3333 0.3324
0.3333 0.6667 0.1805
0.6667 0.3333 0.8195
0.0000 0.0000 0.5000
0.0000 0.5000 0.0000
0.1574 0.3149 0.3455
0.1574 0.8426 0.3455
0.3149 0.1574 0.6545
0.5000 0.0000 0.0000
0.5000 0.5000 0.0000
0.6851 0.8426 0.3455
0.8426 0.1574 0.6545
0.8426 0.6851 0.6545



KCd2NiF, optimized geometry, DFT GGA+U; magnetization = 0.000 μB per atom; total energy = -8.19 eV for the cell shown; space group = P4/mmm, No. 123
1.0
4.8496 0.0000 0.0000
0.0000 4.8496 0.0000
0.0000 0.0000 6.2330
K Cd Ni F
1 2 1 1
direct
0.0000 0.0000 0.0000
0.0000 0.5000 0.5000
0.5000 0.0000 0.5000
0.0000 0.0000 0.5000
0.5000 0.5000 0.0000



Look up the total energy of the first one. -45.85 eV for the cell shown



Repeat the second record exactly.
K3Cd2NiF9, optimized geometry, DFT GGA+U; magnetization = 0.133 μB per atom; total energy = -61.31 eV for the cell shown; space group = P-3m1, No. 164
1.0
6.1103 0.0000 0.0000
-3.0552 5.2917 0.0000
0.0000 0.0000 7.5047
K Cd Ni F
3 2 1 9
direct
0.0000 0.0000 0.0000
0.3333 0.6667 0.6676
0.6667 0.3333 0.3324
0.3333 0.6667 0.1805
0.6667 0.3333 0.8195
0.0000 0.0000 0.5000
0.0000 0.5000 0.0000
0.1574 0.3149 0.3455
0.1574 0.8426 0.3455
0.3149 0.1574 0.6545
0.5000 0.0000 0.0000
0.5000 0.5000 0.0000
0.6851 0.8426 0.3455
0.8426 0.1574 0.6545
0.8426 0.6851 0.6545



total energy of number 2 (K3Cd2NiF9)? -61.31 eV for the cell shown



magnetization of number 1 (KCd2NiF8)? 0.252 μB per atom